Entry 1:
! Rb2SrTbF6 | Alexandria via LeMat-Bulk | PBE-GGA | relaxed; values from VASP
! * size of the total moment: 0.0 μB/f.u.
! * DFT total energy: -5.23 eV/atom
! * formation energy without anion corrections: -3283 meV per atom
&SYSTEM
  ibrav = 0, nat = 10, ntyp = 4
/
ATOMIC_SPECIES
Rb 85.47 Rb.upf
Tb 158.93 Tb.upf
F 19.00 F.upf
Sr 87.62 Sr.upf
ATOMIC_POSITIONS crystal
Rb 0.2496 0.7497 0.5008
Tb 0.5000 0.5000 0.0000
Rb 0.7504 0.2503 0.4992
F 0.2639 0.2639 0.4721
F 0.2635 0.2643 0.0000
F 0.7365 0.2642 0.0000
F 0.7365 0.7357 0.0000
F 0.2635 0.7358 0.0000
Sr 0.0000 0.0000 0.0000
F 0.7361 0.7361 0.5279
CELL_PARAMETERS angstrom
-6.1023 0.6651 2.7082
0.2417 -6.3697 2.1125
-0.9584 -1.4183 6.4858

---

Entry 2:
! Rb2SrTcF6 | Alexandria via LeMat-Bulk | PBE-GGA | relaxed; values from VASP
! * size of the total moment: 1.0 μB/f.u.
! * DFT total energy: -5.07 eV/atom
! * formation energy without anion corrections: -2549 meV per atom
&SYSTEM
  ibrav = 0, nat = 10, ntyp = 4
/
ATOMIC_SPECIES
Rb 85.47 Rb.upf
F 19.00 F.upf
Tc 98.00 Tc.upf
Sr 87.62 Sr.upf
ATOMIC_POSITIONS crystal
Rb 0.7500 0.2500 0.5000
F 0.2377 0.2377 0.0000
Tc 0.0000 0.0000 0.0000
F 0.7623 0.7623 0.0000
Sr 0.5000 0.5000 0.0000
F 0.2377 0.7623 0.0000
F 0.7623 0.7623 0.4754
F 0.7623 0.2377 0.0000
F 0.2377 0.2377 0.5246
Rb 0.2500 0.7500 0.5000
CELL_PARAMETERS angstrom
6.4019 0.0000 0.0000
0.0000 6.4019 0.0000
3.2010 3.2010 4.5270

---

Entry 3:
! RbSrTlF6 | Alexandria via LeMat-Bulk | PBE-GGA | relaxed; values from VASP
! * size of the total moment: 0.1 μB/f.u.
! * DFT total energy: -4.55 eV/atom
! * formation energy without anion corrections: -2741 meV per atom
&SYSTEM
  ibrav = 0, nat = 18, ntyp = 4
/
ATOMIC_SPECIES
F 19.00 F.upf
Tl 204.38 Tl.upf
Rb 85.47 Rb.upf
Sr 87.62 Sr.upf
ATOMIC_POSITIONS crystal
F 0.8271 0.6023 0.2694
Tl 0.5000 0.0000 0.0000
Rb 0.8612 0.6112 0.7225
F 0.4044 0.1544 0.8088
F 0.5577 0.3977 0.7306
F 0.5577 0.8329 0.7306
Rb 0.1388 0.3888 0.2775
Tl 0.5000 0.5000 0.0000
F 0.8696 0.1196 0.7392
F 0.4423 0.6023 0.2694
Sr 0.0000 0.0000 0.5000
F 0.5956 0.8456 0.1912
F 0.1729 0.8329 0.7306
F 0.4423 0.1671 0.2694
Sr 0.5000 0.0000 0.5000
F 0.1729 0.3977 0.7306
F 0.1304 0.8804 0.2608
F 0.8271 0.1671 0.2694
CELL_PARAMETERS angstrom
-0.3877 -0.0630 -7.9284
4.1824 -6.9270 -0.1495
-6.6522 0.6185 4.2943

---

Entry 4:
! Rb2SrTlF5 | Alexandria via LeMat-Bulk | PBE-GGA | relaxed; values from VASP
! * size of the total moment: 0.0 μB/f.u.
! * DFT total energy: -4.53 eV/atom
! * formation energy without anion corrections: -2821 meV per atom
&SYSTEM
  ibrav = 0, nat = 9, ntyp = 4
/
ATOMIC_SPECIES
F 19.00 F.upf
Rb 85.47 Rb.upf
Tl 204.38 Tl.upf
Sr 87.62 Sr.upf
ATOMIC_POSITIONS crystal
F 0.0000 0.0000 0.2578
Rb 0.5000 0.5000 0.7273
F 0.0000 0.5000 0.5000
F 0.5000 0.5000 0.0000
Tl 0.0000 0.0000 0.0000
F 0.0000 0.0000 0.7422
Rb 0.5000 0.5000 0.2727
F 0.5000 0.0000 0.5000
Sr 0.0000 0.0000 0.5000
CELL_PARAMETERS angstrom
4.6714 0.0000 0.0000
0.0000 4.6714 0.0000
0.0000 0.0000 10.0155

---

Entry 5:
! Rb2SrTlF | Alexandria via LeMat-Bulk | PBE-GGA | relaxed; values from VASP
! * size of the total moment: 0.0 μB/f.u.
! * DFT total energy: -2.63 eV/atom
! * formation energy without anion corrections: -1055 meV per atom
&SYSTEM
  ibrav = 0, nat = 5, ntyp = 4
/
ATOMIC_SPECIES
Rb 85.47 Rb.upf
Sr 87.62 Sr.upf
F 19.00 F.upf
Tl 204.38 Tl.upf
ATOMIC_POSITIONS crystal
Rb 0.0000 0.5000 0.0000
Sr 0.0000 0.0000 0.5000
F 0.0000 0.0000 0.0000
Tl 0.5000 0.5000 0.5000
Rb 0.5000 0.0000 0.0000
CELL_PARAMETERS angstrom
-5.6556 -2.0560 -0.0369
1.9552 -5.3429 -1.9609
0.5428 -1.5802 4.8468

---

Entry 6:
! RbSr2TlF8 | Alexandria via LeMat-Bulk | PBE-GGA | relaxed; values from VASP
! * size of the total moment: 0.0 μB/f.u.
! * DFT total energy: -4.83 eV/atom
! * formation energy without anion corrections: -3027 meV per atom
&SYSTEM
  ibrav = 0, nat = 12, ntyp = 4
/
ATOMIC_SPECIES
F 19.00 F.upf
Tl 204.38 Tl.upf
Rb 85.47 Rb.upf
Sr 87.62 Sr.upf
ATOMIC_POSITIONS crystal
F 0.9743 0.2534 0.7961
F 0.4775 0.7212 0.5000
Tl 0.0000 0.0000 0.0000
Rb 0.0000 0.0000 0.5000
Sr 0.5000 0.5000 0.7494
F 0.0257 0.7466 0.2039
F 0.9743 0.2534 0.2039
Sr 0.5000 0.5000 0.2506
F 0.5410 0.7750 0.0000
F 0.0257 0.7466 0.7961
F 0.4590 0.2250 0.0000
F 0.5225 0.2788 0.5000
CELL_PARAMETERS angstrom
4.3080 -0.1816 -0.0019
-0.1776 5.8724 -0.0063
0.0040 0.0089 8.1869

---

Entry 7:
! Rb2SrTmF6 | Alexandria via LeMat-Bulk | PBE-GGA | relaxed; values from VASP
! * size of the total moment: 0.0 μB/f.u.
! * DFT total energy: -5.24 eV/atom
! * formation energy without anion corrections: -3305 meV per atom
&SYSTEM
  ibrav = 0, nat = 10, ntyp = 4
/
ATOMIC_SPECIES
F 19.00 F.upf
Tm 168.93 Tm.upf
Rb 85.47 Rb.upf
Sr 87.62 Sr.upf
ATOMIC_POSITIONS crystal
F 0.2330 0.2327 0.9997
F 0.7670 0.7673 0.0003
Tm 0.0000 0.0000 0.0000
F 0.7674 0.7670 0.4652
Rb 0.2501 0.7499 0.4999
F 0.7673 0.2327 0.9996
F 0.2327 0.7673 0.0004
F 0.2326 0.2330 0.5348
Sr 0.5000 0.5000 0.0000
Rb 0.7499 0.2501 0.5001
CELL_PARAMETERS angstrom
6.6483 0.0005 -0.0037
0.0013 6.6499 -0.0021
3.3222 3.3237 4.7014

---

Entry 8:
! RbSr2TmF8 | Alexandria via LeMat-Bulk | PBE-GGA | relaxed; values from VASP
! * size of the total moment: 0.0 μB/f.u.
! * DFT total energy: -5.77 eV/atom
! * formation energy without anion corrections: -3791 meV per atom
&SYSTEM
  ibrav = 0, nat = 12, ntyp = 4
/
ATOMIC_SPECIES
F 19.00 F.upf
Tm 168.93 Tm.upf
Sr 87.62 Sr.upf
Rb 85.47 Rb.upf
ATOMIC_POSITIONS crystal
F 0.4999 0.2818 0.5000
F 0.5001 0.7182 0.5000
F 0.0003 0.7517 0.7988
F 0.9997 0.2483 0.2012
Tm 0.0000 0.0000 0.0000
F 0.4997 0.2106 0.0000
Sr 0.5000 0.5000 0.7488
F 0.5003 0.7894 0.0000
Rb 0.0000 0.0000 0.5000
Sr 0.5000 0.5000 0.2512
F 0.9997 0.2483 0.7989
F 0.0003 0.7517 0.2011
CELL_PARAMETERS angstrom
4.1281 -0.0304 -0.0021
0.0421 5.8900 -0.0068
0.0044 0.0082 8.2519

---

Entry 9:
! RbSrTmF6 | Alexandria via LeMat-Bulk | PBE-GGA | relaxed; values from VASP
! * size of the total moment: 0.1 μB/f.u.
! * DFT total energy: -5.77 eV/atom
! * formation energy without anion corrections: -3728 meV per atom
&SYSTEM
  ibrav = 0, nat = 18, ntyp = 4
/
ATOMIC_SPECIES
F 19.00 F.upf
Rb 85.47 Rb.upf
Sr 87.62 Sr.upf
Tm 168.93 Tm.upf
ATOMIC_POSITIONS crystal
F 0.8653 0.1154 0.7306
F 0.1347 0.8846 0.2694
F 0.5556 0.8405 0.7347
F 0.8209 0.6059 0.2653
F 0.1791 0.3941 0.7347
Rb 0.8559 0.6058 0.7117
F 0.1791 0.8405 0.7347
Sr 0.5000 0.0000 0.5000
F 0.8209 0.1595 0.2653
F 0.5556 0.3941 0.7347
F 0.5737 0.8237 0.1475
Tm 0.5000 0.0000 0.0000
F 0.4263 0.1763 0.8525
Sr 0.0000 0.0000 0.5000
F 0.4444 0.1595 0.2653
F 0.4444 0.6059 0.2653
Tm 0.5000 0.5000 0.0000
Rb 0.1441 0.3942 0.2883
CELL_PARAMETERS angstrom
7.9974 0.0000 0.0000
0.0000 7.9964 -0.0001
-3.9987 -3.9983 5.5794

---

Entry 10:
! RbSrUF6 | Alexandria via LeMat-Bulk | PBE-GGA | relaxed; values from VASP
! * size of the total moment: 2.9 μB/f.u.
! * DFT total energy: -6.16 eV/atom
! * formation energy without anion corrections: -3365 meV per atom
&SYSTEM
  ibrav = 0, nat = 18, ntyp = 4
/
ATOMIC_SPECIES
Sr 87.62 Sr.upf
F 19.00 F.upf
Rb 85.47 Rb.upf
U 238.03 U.upf
ATOMIC_POSITIONS crystal
Sr 0.3333 0.6667 0.2500
F 0.6351 0.6201 0.1414
Rb 0.0000 0.0000 0.5000
F 0.6201 0.6351 0.6414
U 0.6667 0.3333 0.2500
F 0.9850 0.3649 0.1414
F 0.0150 0.3799 0.6414
F 0.9850 0.6201 0.3586
Rb 0.0000 0.0000 0.0000
F 0.3649 0.3799 0.8586
U 0.3333 0.6667 0.7500
F 0.6351 0.0150 0.3586
F 0.3799 0.0150 0.1414
F 0.3649 0.9850 0.6414
F 0.3799 0.3649 0.3586
Sr 0.6667 0.3333 0.7500
F 0.6201 0.9850 0.8586
F 0.0150 0.6351 0.8586
CELL_PARAMETERS angstrom
6.6234 0.0000 0.0000
-3.3117 5.7360 0.0000
0.0000 0.0000 10.6117